The following is a DFT calculation (PBE) of a relaxed structure of LaNd5Ho6.

abc: 6.271 6.271 11.835
angles: 95.05 95.05 119.99
Element x y z (fractional)
La1 0.000 0.000 0.000
Nd1 0.167 0.833 0.500
Nd2 0.333 0.667 0.000
Nd3 0.500 0.500 0.500
Nd4 0.667 0.333 0.000
Nd5 0.833 0.167 0.500
Ho1 0.083 0.417 0.251
Ho2 0.251 0.251 0.749
Ho3 0.417 0.083 0.251
Ho4 0.583 0.917 0.749
Ho5 0.749 0.749 0.251
Ho6 0.917 0.583 0.749

Calculated values
E_form	13	meV/atom
size of the total moment	0.00	Bohr magnetons per cell
electronic total energy	-4.674	eV per atom
space-group type	No. 12